[1]
SrEuCuNi, optimized geometry, DFT PBE; raw total energy = -5.43 eV/atom; N(E_F) = 9.385 states/eV per cell; magnetization = 1.805 μB per atom; V = 95 Å³/f.u.; energy relative to the elements = 0.0334 eV per atom
1.0
5.128 0.000 0.000
2.564 4.441 0.000
2.564 1.480 4.187
Eu Sr Cu Ni
1 1 1 1
direct
0.000 0.000 0.000 Eu
0.500 0.500 0.500 Sr
0.250 0.250 0.250 Cu
0.750 0.750 0.750 Ni

[2]
KPmTl2Cl6, optimized geometry, DFT PBE; raw total energy = -3.91 eV/atom; N(E_F) = 0.000 states/eV per cell; formation energy (no corrections) = -1682 kJ/mol of formula units; magnetization = 0.000 μB per atom; V = 339 Å³/f.u.
1.0
7.551 0.000 0.118
0.000 8.197 0.000
0.237 0.000 10.961
K Pm Tl Cl
2 2 4 12
direct
0.500 0.000 0.000 K
0.000 0.500 0.500 K
0.500 0.000 0.500 Pm
0.000 0.500 0.000 Pm
0.022 0.934 0.266 Tl
0.522 0.566 0.766 Tl
0.978 0.066 0.734 Tl
0.478 0.434 0.234 Tl
0.300 0.673 0.044 Cl
0.800 0.827 0.544 Cl
0.700 0.327 0.956 Cl
0.200 0.173 0.456 Cl
0.331 0.726 0.422 Cl
0.831 0.774 0.922 Cl
0.669 0.274 0.578 Cl
0.169 0.226 0.078 Cl
0.873 0.562 0.232 Cl
0.373 0.938 0.732 Cl
0.127 0.438 0.768 Cl
0.627 0.062 0.268 Cl

[3]
LaMg2P, optimized geometry, DFT PBE; raw total energy = -3.79 eV/atom; N(E_F) = 0.730 states/eV per cell; magnetization = 0.000 μB per atom; V = 106 Å³/f.u.; energy relative to the elements = -0.4050 eV per atom
1.0
-2.369 2.173 -7.861
-7.996 0.996 2.685
-4.627 4.396 -1.978
P Mg La
2 4 2
direct
0.500 0.500 0.000 P
0.250 0.750 0.500 P
0.550 0.125 0.250 Mg
0.200 0.625 0.250 Mg
0.375 0.450 0.750 Mg
0.875 0.800 0.750 Mg
0.000 0.000 0.000 La
0.750 0.250 0.500 La

[4]
Mo2RhW, optimized geometry, DFT PBE; raw total energy = -10.48 eV/atom; N(E_F) = 3.399 states/eV per cell; magnetization = 0.000 μB per atom; V = 62 Å³/f.u.; energy above the most stable polymorph in this dataset = 2 meV per atom; energy relative to the elements = 0.0125 eV per atom
1.0
2.732 -0.002 0.000
-0.732 2.632 0.000
0.000 0.000 8.650
Mo Rh W
2 1 1
direct
0.000 0.000 0.000 Mo
0.500 0.500 0.257 Mo
0.000 0.000 0.501 Rh
0.500 0.500 0.742 W

[5]
ScV3Cd, optimized geometry, DFT PBE; raw total energy = -5.41 eV/atom; N(E_F) = 4.810 states/eV per cell; magnetization = 0.802 μB per atom; V = 95 Å³/f.u.; energy above the most stable polymorph in this dataset = 0 meV per atom; energy relative to the elements = 1.5095 eV per atom
1.0
4.566 0.000 0.000
0.000 4.566 0.000
0.000 0.000 4.566
Sc Cd V
1 1 3
direct
0.000 0.000 0.000 Sc
0.500 0.500 0.500 Cd
0.000 0.500 0.000 V
0.000 0.000 0.500 V
0.500 0.000 0.000 V

[6]
PmTmPdRu, optimized geometry, DFT PBE; raw total energy = -6.55 eV/atom; N(E_F) = 2.189 states/eV per cell; magnetization = 0.000 μB per atom; V = 84 Å³/f.u.; energy above the most stable polymorph in this dataset = 0 meV per atom; energy relative to the elements = -0.6298 eV per atom
1.0
-2.494 -2.193 0.930
1.550 -2.516 -1.779
3.707 -1.779 5.745
Pm Tm Pd Ru
1 1 1 1
direct
0.500 0.500 0.120 Pm
0.500 0.500 0.599 Tm
0.000 0.000 0.838 Pd
0.000 0.000 0.371 Ru

[7]
Al2OsRu, optimized geometry, DFT PBE; raw total energy = -7.39 eV/atom; N(E_F) = 1.805 states/eV per cell; magnetization = 0.000 μB per atom; V = 56 Å³/f.u.; energy relative to the elements = -0.3955 eV per atom
1.0
5.185 0.000 -0.001
2.669 4.446 0.001
-3.536 -2.913 2.428
Ru Os Al
1 1 2
direct
0.253 0.753 0.500 Ru
0.496 0.496 0.000 Os
0.010 0.010 0.000 Al
0.742 0.242 0.500 Al

[8]
La5Mg4Ga, optimized geometry, DFT PBE; raw total energy = -3.61 eV/atom; N(E_F) = 11.222 states/eV per cell; magnetization = 0.000 μB per atom; V = 302 Å³/f.u.; energy relative to the elements = -0.2050 eV per atom
1.0
-2.644 -2.632 1.153
2.870 -2.493 0.890
0.691 7.360 18.389
La Mg Ga
5 4 1
direct
0.500 0.500 0.088 La
0.500 0.500 0.296 La
0.500 0.500 0.500 La
0.500 0.500 0.704 La
0.500 0.500 0.912 La
0.000 0.000 0.195 Mg
0.000 0.000 0.398 Mg
0.000 0.000 0.602 Mg
0.000 0.000 0.805 Mg
0.000 0.000 0.000 Ga

[9]
TbPmPr2Er5, optimized geometry, DFT PBE; raw total energy = -4.38 eV/atom; N(E_F) = 19.955 states/eV per cell; magnetization = 0.000 μB per atom; V = 293 Å³/f.u.; energy relative to the elements = 0.2617 eV per atom
1.0
-5.275 1.332 -6.769
1.007 -8.281 -2.414
-3.983 1.457 8.961
Tb Pm Pr Er
2 2 4 10
direct
0.250 0.750 0.500 Tb
0.750 0.250 0.500 Tb
0.250 0.250 0.500 Pm
0.750 0.750 0.500 Pm
0.118 0.382 0.000 Pr
0.618 0.118 0.000 Pr
0.382 0.882 0.000 Pr
0.882 0.618 0.000 Pr
0.928 0.428 0.279 Er
0.649 0.149 0.721 Er
0.072 0.572 0.721 Er
0.149 0.072 0.721 Er
0.572 0.649 0.721 Er
0.851 0.928 0.279 Er
0.428 0.351 0.279 Er
0.351 0.851 0.279 Er
0.500 0.500 0.000 Er
0.000 0.000 0.000 Er

[10]
TaNi3Rh, optimized geometry, DFT PBE; raw total energy = -7.44 eV/atom; N(E_F) = 20.414 states/eV per cell; magnetization = 0.000 μB per atom; V = 68 Å³/f.u.; energy above the most stable polymorph in this dataset = 82 meV per atom; energy relative to the elements = -0.1266 eV per atom
1.0
6.469 0.000 0.000
0.000 6.469 0.000
0.000 0.000 6.469
Ta Ni Rh
4 12 4
direct
0.014 0.014 0.014 Ta
0.486 0.986 0.514 Ta
0.986 0.514 0.486 Ta
0.514 0.486 0.986 Ta
0.123 0.149 0.399 Ni
0.377 0.851 0.899 Ni
0.877 0.649 0.101 Ni
0.399 0.123 0.149 Ni
0.623 0.351 0.601 Ni
0.899 0.377 0.851 Ni
0.101 0.877 0.649 Ni
0.601 0.623 0.351 Ni
0.149 0.399 0.123 Ni
0.649 0.101 0.877 Ni
0.351 0.601 0.623 Ni
0.851 0.899 0.377 Ni
0.740 0.740 0.740 Rh
0.760 0.260 0.240 Rh
0.260 0.240 0.760 Rh
0.240 0.760 0.260 Rh

[11]
LiNbSb3, optimized geometry, DFT PBE; raw total energy = -4.11 eV/atom; N(E_F) = 5.903 states/eV per cell; formation energy (no corrections) = 369 kJ/mol of formula units; magnetization = 0.000 μB per atom; V = 117 Å³/f.u.; energy above the most stable polymorph in this dataset = 577 meV per atom
1.0
4.885 0.000 0.000
0.000 4.885 0.000
0.000 0.000 4.885
Sb Nb Li
3 1 1
direct
0.000 0.500 0.000 Sb
0.000 0.000 0.500 Sb
0.500 0.000 0.000 Sb
0.500 0.500 0.500 Nb
0.000 0.000 0.000 Li

[12]
BaCoH2, optimized geometry, DFT PBE; raw total energy = -3.42 eV/atom; N(E_F) = 6.221 states/eV per cell; magnetization = 0.566 μB per atom; V = 66 Å³/f.u.; energy above the most stable polymorph in this dataset = 516 meV per atom
1.0
0.000 3.206 3.206
3.206 0.000 3.206
3.206 3.206 0.000
H Co Ba
2 1 1
direct
0.250 0.250 0.250 H
0.750 0.750 0.750 H
0.000 0.000 0.000 Co
0.500 0.500 0.500 Ba

[13]
NaNbO3, optimized geometry, DFT PBE; raw total energy = -7.69 eV/atom; N(E_F) = 0.000 states/eV per cell; formation energy (no corrections) = -1174 kJ/mol of formula units; magnetization = 0.000 μB per atom; V = 67 Å³/f.u.
1.0
-2.985 -1.608 -5.135
2.339 -0.732 -5.645
0.554 -5.227 -3.200
Na Nb O
2 2 6
direct
0.642 0.642 0.642 Na
0.358 0.358 0.358 Na
0.852 0.852 0.852 Nb
0.148 0.148 0.148 Nb
0.814 0.030 0.439 O
0.439 0.814 0.030 O
0.030 0.439 0.814 O
0.186 0.970 0.561 O
0.561 0.186 0.970 O
0.970 0.561 0.186 O

[14]
Tb6Te3PbS2, optimized geometry, DFT PBE; raw total energy = -5.51 eV/atom; N(E_F) = 3.329 states/eV per cell; formation energy (no corrections) = -1635 kJ/mol of formula units; magnetization = 0.000 μB per atom; V = 326 Å³/f.u.
1.0
-4.106 0.546 -0.751
-1.354 -8.367 1.323
1.038 3.653 8.780
Tb Te Pb S
6 3 1 2
direct
0.330 0.881 0.660 Tb
0.678 0.562 0.355 Tb
0.670 0.119 0.340 Tb
0.016 0.256 0.032 Tb
0.984 0.744 0.968 Tb
0.322 0.438 0.645 Tb
0.500 0.500 0.000 Te
0.839 0.169 0.677 Te
0.161 0.831 0.323 Te
0.500 0.000 0.000 Pb
0.830 0.661 0.660 S
0.170 0.339 0.340 S

[15]
Y2TmTc, optimized geometry, DFT PBE; raw total energy = -6.88 eV/atom; N(E_F) = 5.557 states/eV per cell; magnetization = 0.000 μB per atom; V = 106 Å³/f.u.; energy above the most stable polymorph in this dataset = 160 meV per atom; energy relative to the elements = 0.0585 eV per atom
1.0
3.475 0.000 0.000
0.000 3.475 0.000
0.000 0.000 8.748
Y Tm Tc
2 1 1
direct
0.000 0.000 0.812 Y
0.000 0.000 0.188 Y
0.500 0.500 0.500 Tm
0.500 0.500 0.000 Tc

[16]
CeHoZr2, optimized geometry, DFT PBE; raw total energy = -6.60 eV/atom; N(E_F) = 8.377 states/eV per cell; magnetization = 0.001 μB per atom; V = 107 Å³/f.u.; energy above the most stable polymorph in this dataset = 191 meV per atom; energy relative to the elements = 0.3024 eV per atom
1.0
3.271 0.000 0.000
1.636 2.833 0.000
1.636 0.944 11.522
Zr Ho Ce
2 1 1
direct
0.090 0.090 0.730 Zr
0.910 0.910 0.270 Zr
0.000 0.000 0.000 Ho
0.500 0.500 0.500 Ce

[17]
SrSn2Pt2, optimized geometry, DFT PBE; raw total energy = -4.84 eV/atom; N(E_F) = 4.431 states/eV per cell; magnetization = 0.000 μB per atom; V = 114 Å³/f.u.; energy relative to the elements = -0.4818 eV per atom
1.0
7.991 0.000 0.000
0.000 7.991 0.000
0.000 0.000 3.556
Sr Sn Pt
2 4 4
direct
0.000 0.000 0.000 Sr
0.500 0.500 0.000 Sr
0.155 0.655 0.500 Sn
0.655 0.845 0.500 Sn
0.845 0.345 0.500 Sn
0.345 0.155 0.500 Sn
0.371 0.871 0.000 Pt
0.871 0.629 0.000 Pt
0.629 0.129 0.000 Pt
0.129 0.371 0.000 Pt

[18]
Sc2Mn3Re, optimized geometry, DFT PBE; raw total energy = -8.95 eV/atom; N(E_F) = 6.389 states/eV per cell; magnetization = 0.241 μB per atom; V = 89 Å³/f.u.; energy relative to the elements = -0.1831 eV per atom
1.0
4.469 -0.134 -2.353
-2.840 4.173 -0.212
-0.228 0.092 4.980
Sc Mn Re
2 3 1
direct
0.751 0.375 0.126 Sc
0.249 0.625 0.874 Sc
0.500 0.500 0.500 Mn
0.000 0.000 0.500 Mn
0.500 0.000 0.500 Mn
0.000 0.000 0.000 Re

[19]
SrLaW2, optimized geometry, DFT PBE; raw total energy = -6.55 eV/atom; N(E_F) = 6.267 states/eV per cell; magnetization = 0.951 μB per atom; V = 99 Å³/f.u.; energy above the most stable polymorph in this dataset = 1044 meV per atom; energy relative to the elements = 1.5811 eV per atom
1.0
0.000 3.673 3.673
3.673 0.000 3.673
3.673 3.673 0.000
Sr W La
1 2 1
direct
0.000 0.000 0.000 Sr
0.250 0.250 0.250 W
0.750 0.750 0.750 W
0.500 0.500 0.500 La

[20]
Bi2PtW, optimized geometry, DFT PBE; raw total energy = -5.82 eV/atom; N(E_F) = 5.159 states/eV per cell; magnetization = 0.412 μB per atom; V = 96 Å³/f.u.; energy above the most stable polymorph in this dataset = 111 meV per atom; energy relative to the elements = 0.8686 eV per atom
1.0
-1.209 -4.372 -0.820
3.849 -0.603 -2.463
5.711 -5.109 5.862
W Bi Pt
2 4 2
direct
0.500 0.500 0.000 W
0.250 0.750 0.500 W
0.623 0.125 0.250 Bi
0.127 0.625 0.250 Bi
0.375 0.377 0.750 Bi
0.875 0.873 0.750 Bi
0.000 0.000 0.000 Pt
0.750 0.250 0.500 Pt

[21]
Ca2CdMo, optimized geometry, DFT PBE; raw total energy = -3.50 eV/atom; N(E_F) = 3.418 states/eV per cell; magnetization = 0.000 μB per atom; V = 100 Å³/f.u.; energy relative to the elements = 0.4373 eV per atom
1.0
-2.565 -5.289 -1.592
0.363 -5.408 -2.775
1.411 -3.875 3.884
Mo Ca Cd
1 2 1
direct
0.222 0.222 0.211 Mo
0.976 0.976 0.069 Ca
0.772 0.772 0.686 Ca
0.531 0.531 0.533 Cd

[22]
HoTm3Tl, optimized geometry, DFT PBE; raw total energy = -4.11 eV/atom; N(E_F) = 25.548 states/eV per cell; magnetization = 0.000 μB per atom; V = 147 Å³/f.u.; energy above the most stable polymorph in this dataset = 73 meV per atom; energy relative to the elements = -0.0365 eV per atom
1.0
6.415 0.486 0.604
0.889 9.551 1.492
0.889 -0.580 9.650
Ho Tm Tl
4 12 4
direct
0.539 0.537 0.672 Ho
0.961 0.328 0.463 Ho
0.461 0.463 0.328 Ho
0.039 0.672 0.537 Ho
0.142 0.728 0.876 Tm
0.358 0.124 0.272 Tm
0.858 0.272 0.124 Tm
0.642 0.876 0.728 Tm
0.359 0.376 0.002 Tm
0.141 0.998 0.624 Tm
0.641 0.624 0.998 Tm
0.859 0.002 0.376 Tm
0.024 0.409 0.787 Tm
0.476 0.213 0.591 Tm
0.976 0.591 0.213 Tm
0.524 0.787 0.409 Tm
0.750 0.917 0.083 Tl
0.250 0.083 0.917 Tl
0.750 0.169 0.831 Tl
0.250 0.831 0.169 Tl

[23]
Ag2H3Rh, optimized geometry, DFT PBE; raw total energy = -3.77 eV/atom; N(E_F) = 2.341 states/eV per cell; magnetization = 0.000 μB per atom; V = 61 Å³/f.u.
1.0
-0.649 -4.094 3.698
4.308 -3.576 0.958
2.642 0.147 4.742
Ag H Rh
4 6 2
direct
0.607 0.261 0.364 Ag
0.770 0.759 0.865 Ag
0.230 0.241 0.135 Ag
0.393 0.739 0.636 Ag
0.593 0.240 0.753 H
0.407 0.760 0.247 H
0.192 0.021 0.899 H
0.123 0.470 0.598 H
0.877 0.530 0.402 H
0.808 0.979 0.101 H
0.101 0.749 0.251 Rh
0.899 0.251 0.749 Rh

[24]
SbPbCl2, optimized geometry, DFT PBE; raw total energy = -3.15 eV/atom; N(E_F) = 1.984 states/eV per cell; formation energy (no corrections) = -104 kJ/mol of formula units; magnetization = 0.000 μB per atom; V = 116 Å³/f.u.; energy above the most stable polymorph in this dataset = 267 meV per atom
1.0
3.561 -0.023 0.000
-1.848 3.044 0.000
0.000 0.000 10.756
Pb Sb Cl
1 1 2
direct
0.000 0.000 0.481 Pb
0.500 0.500 0.771 Sb
0.000 0.000 0.964 Cl
0.500 0.500 0.284 Cl